Run a
VASP calculation (PBE) on a relaxed structure of Sn2BBr.

Values from the calculation:
**Fermi-level density of states**: 3.23 states/eV/cell

Cell: 6.9436 6.9436 8.5767 Å, 90.00 90.00 90.00°
Space group I-42d (No. 122)
Unique sites:
Sn 0.1478 0.7500 0.1250 x8
B 0.0000 0.0000 0.0000 x4
Br 0.0000 0.0000 0.5000 x4


Run b
VASP calculation (PBE) on a relaxed structure of Sn2BBr.

Values from the calculation:
**Fermi-level density of states**: 8.09 states/eV/cell

Cell: 7.0767 7.0767 7.0767 Å, 90.00 90.00 90.00°
Space group Fm-3m (No. 225)
Unique sites:
Sn 0.2500 0.2500 0.2500 x8
B 0.0000 0.0000 0.0000 x4
Br 0.0000 0.0000 0.5000 x4


The calculated energies rank the structures as follows, beginning with the most stable: run a, run b.